Record 1
VASP calculation (PBE-GGA) on a relaxed Al3CdSn crystal.

```
5
Lattice="-1.501 4.737 1.034 -4.204 -0.732 -2.748 -2.416 -1.669 4.140" Properties=species:S:1:pos:R:3 pbc="T T T"
Al -0.751 2.369 0.517
Al -1.208 -0.835 2.070
Al -2.102 -0.366 -1.374
Cd 0.000 0.000 0.000
Sn -4.060 1.168 1.213
```

Calculated values
* V: 26.16 A^3/atom
* ΔH_f (0 K): 0.6891 eV/atom
* distance to the lowest polymorph of the same formula: 0 meV per atom

***

Record 2
VASP calculation (PBE-GGA) on a relaxed Al2Cd2Sn crystal.

```
5
Lattice="-1.594 -1.489 -3.510 -2.456 -2.510 2.180 -6.743 2.734 -0.530" Properties=species:S:1:pos:R:3 pbc="T T T"
Cd -7.766 -0.271 -1.224
Cd -3.028 -0.993 -0.637
Al -5.181 -0.377 -2.353
Al -5.612 -0.887 0.492
Sn 0.000 0.000 0.000
```

Calculated values
* V: 22.84 A^3/atom
* ΔH_f (0 K): 0.1883 eV/atom
* distance to the lowest polymorph of the same formula: 2 meV per atom